Record 1
Entry from Alexandria: a relaxed structure of AcGdAgHg (PBE-GGA).

- magnetization (μB/cell) = 28.95
- D(E_F) (states/eV/cell) = 20.825
- formation energy from the elements (eV per atom) = -0.353

Cell: 7.7436 7.7436 7.7436 Å, 90.00 90.00 90.00°
With the nearest neighbours (Å) after each atom.
Space group F-43m (No. 216)
Inequivalent atoms, fractional coordinates:
Ac  0.0000  0.0000  0.0000 x4  4 Hg 3.35, 4 Ag 3.35
Gd  0.0000  0.0000  0.5000 x4  4 Hg 3.35, 4 Ag 3.35
Ag  0.2500  0.2500  0.7500 x4  4 Gd 3.35, 4 Ac 3.35
Hg  0.2500  0.2500  0.2500 x4  4 Gd 3.35, 4 Ac 3.35


Record 2
Entry from Alexandria: a relaxed structure of Cs2LiMgI6 (PBE-GGA).

- raw formation energy (eV/atom) = -1.11
- magnetization (μB/cell) = 0.00
- D(E_F) (states/eV/cell) = 22.159

Cell: 8.3603 8.3603 11.8428 Å, 90.00 90.00 90.00°
With the nearest neighbours (Å) after each atom.
Space group I4/mmm (No. 139)
Inequivalent atoms, fractional coordinates:
Cs  0.0000  0.5000  0.2500 x4  12 I 4.18
Li  0.0000  0.0000  0.0000 x2  6 I 2.99-3.00
Mg  0.0000  0.0000  0.5000 x2  6 I 2.93
I  0.0000  0.0000  0.2530 x4  1 Mg 2.93, 1 Li 3.00
I  0.2474  0.2474  0.5000 x8  1 Mg 2.93, 1 Li 2.99


Record 3
Entry from Alexandria: a relaxed structure of NdSBr (PBE-GGA).

- raw formation energy (eV/atom) = -1.91
- magnetization (μB/cell) = 0.00
- D(E_F) (states/eV/cell) = 0.000

Cell: 4.2718 4.2718 6.7963 Å, 90.00 90.00 120.00°
With the nearest neighbours (Å) after each atom.
Space group P3m1 (No. 156)
Inequivalent atoms, fractional coordinates:
Nd  0.0000  0.0000  0.0000 x1  3 S 2.74
S  0.3333  0.6667  0.8245 x1  3 Nd 2.74
Br  0.6667  0.3333  0.2728 x1  3 Nd 3.09


Record 4
Entry from Alexandria: a relaxed structure of RbLiLa2Ir (PBE-GGA).

- magnetization (μB/cell) = 0.00
- D(E_F) (states/eV/cell) = 3.352
- formation energy from the elements (eV per atom) = -0.086

Cell: 5.5699 5.5699 5.8507 Å, 90.00 90.00 90.00°
With the nearest neighbours (Å) after each atom.
Space group P4/mmm (No. 123)
Inequivalent atoms, fractional coordinates:
Rb  0.0000  0.0000  0.0000 x1  4 Li 3.94, 8 La 4.04
Li  0.5000  0.5000  0.0000 x1  2 Ir 2.93
La  0.0000  0.5000  0.5000 x2  2 Ir 2.78
Ir  0.5000  0.5000  0.5000 x1  4 La 2.78, 2 Li 2.93


Record 5
Entry from Alexandria: a relaxed structure of Se3NF (PBE-GGA).

- raw formation energy (eV/atom) = 0.81
- magnetization (μB/cell) = 0.00
- D(E_F) (states/eV/cell) = 4.435

Cell: 4.3424 4.3424 4.3424 Å, 90.00 90.00 90.00°
With the nearest neighbours (Å) after each atom.
Space group Pm-3m (No. 221)
Inequivalent atoms, fractional coordinates:
Se  0.0000  0.0000  0.5000 x3  2 N 2.17
N  0.0000  0.0000  0.0000 x1  6 Se 2.17
F  0.5000  0.5000  0.5000 x1  12 Se 3.07


Record 6
Entry from Alexandria: a relaxed structure of NaIn4Br5 (PBE-GGA).

- raw formation energy (eV/atom) = -0.82
- magnetization (μB/cell) = 0.00
- D(E_F) (states/eV/cell) = 0.000

Cell: 10.3662 10.3662 6.5640 Å, 90.00 90.00 90.00°
With the nearest neighbours (Å) after each atom.
Space group I4 (No. 79)
Inequivalent atoms, fractional coordinates:
Na  0.0000  0.0000  0.0000 x2  6 Br 3.00-3.32
In  0.0990  0.3012  0.5040 x8  6 Br 3.17-3.55
Br  0.0000  0.0000  0.5052 x2  2 Na 3.25-3.32, 4 In 3.29
Br  0.1038  0.2703  0.0042 x8  1 Na 3.00, 3 In 3.17-3.30


Record 7
Entry from Alexandria: a relaxed structure of K3NiC (PBE-GGA).

- magnetization (μB/cell) = 0.79
- D(E_F) (states/eV/cell) = 11.541
- formation energy from the elements (eV per atom) = 1.428

Cell: 5.5940 5.5940 5.5940 Å, 90.00 90.00 90.00°
With the nearest neighbours (Å) after each atom.
Space group Pm-3m (No. 221)
Inequivalent atoms, fractional coordinates:
K  0.0000  0.0000  0.5000 x3  2 C 2.80
Ni  0.5000  0.5000  0.5000 x1  12 K 3.96
C  0.0000  0.0000  0.0000 x1  6 K 2.80


Record 8
Entry from Alexandria: a relaxed structure of VReGeMo (PBE-GGA).

- magnetization (μB/cell) = 0.00
- D(E_F) (states/eV/cell) = 12.502
- formation energy from the elements (eV per atom) = -0.042

Cell: 6.1450 6.1450 6.1450 Å, 90.00 90.00 90.00°
With the nearest neighbours (Å) after each atom.
Space group F-43m (No. 216)
Inequivalent atoms, fractional coordinates:
V  0.0000  0.0000  0.0000 x4  4 Re 2.66, 4 Mo 2.66
Re  0.2500  0.2500  0.2500 x4  4 Ge 2.66, 4 V 2.66
Ge  0.0000  0.0000  0.5000 x4  4 Mo 2.66, 4 Re 2.66
Mo  0.2500  0.2500  0.7500 x4  4 Ge 2.66, 4 V 2.66